Density functional theory data (GGA-PBE) for an optimized crystal structure of LiAc2PuS6.

Values from the calculation:
Total DFT energy (no corrections)   -132.31 eV/cell
Symmetry   P2_1/c (14)
E_form (uncorrected)   -1.693 eV/atom

abc: 6.772 7.485 9.726
angles: 90.00 88.62 90.00
Site moments in Bohr magnetons follow the coordinates.
Element x y z (fractional)
Pu 0.000 0.500 0.000  3.93
Pu 0.500 0.000 0.500  3.93
S 0.893 0.527 0.255  -0.11
S 0.314 0.684 0.052  -0.11
S 0.320 0.696 0.447  -0.10
S 0.820 0.804 0.947  -0.10
S 0.680 0.304 0.553  -0.10
S 0.107 0.473 0.745  -0.11
S 0.393 0.973 0.755  -0.11
S 0.607 0.027 0.245  -0.11
S 0.814 0.816 0.552  -0.11
S 0.180 0.196 0.053  -0.10
S 0.686 0.316 0.948  -0.11
S 0.186 0.184 0.448  -0.11
Li 0.000 0.500 0.500  -0.01
Li 0.500 0.000 0.000  -0.01
Ac 0.030 0.909 0.251  0.00
Ac 0.970 0.091 0.749  0.00
Ac 0.530 0.591 0.751  0.00
Ac 0.470 0.409 0.249  0.00